This record from Alexandria via LeMat-Bulk describes an optimized crystal structure of Tb4PrTh2. The functional is PBE.

Structure (CIF):
```
data_Tb4PrTh2
_chemical_formula_sum 'Tb4 Pr1 Th2'
_cell_length_a 6.107
_cell_length_b 3.573
_cell_length_c 11.336
_cell_angle_alpha 90.00
_cell_angle_beta 99.12
_cell_angle_gamma 90.00
_space_group_name_H-M_alt 'P 1 2/m 1'
_space_group_IT_number 10
_space_group_name_Hall '-P 2y'
loop_
_atom_site_label
_atom_site_fract_x
_atom_site_fract_y
_atom_site_fract_z
_atom_site_occupancy
Tb1 0.085 0.000 0.230 1
Tb2 0.405 0.500 0.739 1
Pr1 0.500 0.000 0.000 1
Th1 0.000 0.500 0.500 1
Th2 0.500 0.000 0.500 1
```

Computed properties:
- distance to the lowest polymorph of the same formula (meV per atom) = 0
- raw total energy (eV/atom) = -5.278
- energy of formation from the pure elements (meV per atom) = 171
- N(E_F) (states/eV per cell) = 9.90
- V (Å³/f.u.) = 244.19

This record from Alexandria via LeMat-Bulk describes an optimized crystal structure of Tb5Pr6Th. The functional is PBE.

Structure (CIF):
```
data_Tb5Pr6Th
_chemical_formula_sum 'Tb10 Pr12 Th2'
_cell_length_a 11.494
_cell_length_b 15.447
_cell_length_c 5.158
_cell_angle_alpha 90.00
_cell_angle_beta 116.59
_cell_angle_gamma 90.00
_space_group_name_H-M_alt 'C 1 2/m 1'
_space_group_IT_number 12
_space_group_name_Hall '-C 2y'
loop_
_atom_site_label
_atom_site_fract_x
_atom_site_fract_y
_atom_site_fract_z
_atom_site_occupancy
Tb1 0.000 0.000 0.000 1
Tb2 0.000 0.168 0.500 1
Tb3 0.000 0.336 0.000 1
Pr1 0.248 0.500 0.248 1
Pr2 0.250 0.165 0.251 1
Th1 0.000 0.500 0.500 1
```

Computed properties:
- raw total energy (eV/atom) = -4.906
- energy of formation from the pure elements (meV per atom) = 32
- N(E_F) (states/eV per cell) = 35.53
- V (Å³/f.u.) = 409.50

This record from Alexandria via LeMat-Bulk describes an optimized crystal structure of Tb5Pr6Th2. The functional is PBE.

Structure (CIF):
```
data_Tb5Pr6Th2
_chemical_formula_sum 'Tb10 Pr12 Th4'
_cell_length_a 11.716
_cell_length_b 21.093
_cell_length_c 3.648
_cell_angle_alpha 90.00
_cell_angle_beta 90.00
_cell_angle_gamma 90.00
_space_group_name_H-M_alt 'P b a m'
_space_group_IT_number 55
_space_group_name_Hall '-P 2 2ab'
loop_
_atom_site_label
_atom_site_fract_x
_atom_site_fract_y
_atom_site_fract_z
_atom_site_occupancy
Tb1 0.000 0.000 0.000 1
Tb2 0.068 0.291 0.000 1
Tb3 0.183 0.583 0.000 1
Pr1 0.071 0.144 0.500 1
Pr2 0.084 0.438 0.500 1
Pr3 0.181 0.875 0.000 1
Th1 0.187 0.732 0.500 1
```

Computed properties:
- raw total energy (eV/atom) = -5.004
- energy of formation from the pure elements (meV per atom) = 125
- N(E_F) (states/eV per cell) = 36.73
- V (Å³/f.u.) = 450.79